## Tl2InGaBr4 (PBE)

Data for an optimized crystal structure of Tl2InGaBr4.

Results
Spin magnetization   0.00 μB/cell
Formation energy without anion corrections   -719 meV per atom
SG   P2/m (10)
Crystal system   monoclinic
Fermi-level density of states   0.000 states/eV/f.u.

Cell: 4.6821 8.1125 8.1267 Å, 70.59 90.00 90.00°
Sites, in units of the cell vectors:
Tl 0.0000 0.0000 0.0000
Tl 0.5000 0.0000 0.5000
In 0.0000 0.5000 0.5000
Ga 0.5000 0.5000 0.0000
Br 0.0000 0.7362 0.7619
Br 0.0000 0.2638 0.2381
Br 0.5000 0.7413 0.2458
Br 0.5000 0.2587 0.7542